Density functional theory data (SCAN) for a PBEsol-optimized structure of BeAg2As.

a = 3.0196 Å, b = 4.4817 Å, c = 9.0679 Å
α = 90.00°, β = 90.00°, γ = 90.00°
Last column: nearest neighbours and their distance in Å.
Space group Immm (No. 71)
Inequivalent atoms, fractional coordinates:
Be (0.0000, 0.0000, 0.0000) [2 per cell]  4 Ag 2.45, 4 As 2.70
Ag (0.0000, 0.5000, 0.2871) [4 per cell]  2 Be 2.45
As (0.0000, 0.0000, 0.5000) [2 per cell]  4 Be 2.70, 8 Ag 2.96-3.01, 2 As 3.02

Summary:
energy relative to the lowest polymorph listed for this composition	81	meV/atom
E_form	262	meV/atom

=====

Density functional theory data (SCAN) for a PBEsol-optimized structure of MnVP2O8.

a = 4.7907 Å, b = 5.7889 Å, c = 9.8497 Å
α = 90.00°, β = 91.17°, γ = 90.00°
Last column: nearest neighbours and their distance in Å.
Space group P2_1/m (No. 11)
Inequivalent atoms, fractional coordinates:
Mn (0.0542, 0.2500, 0.2239) [2 per cell]  4 O 1.92-2.07
V (0.4527, 0.2500, 0.7231) [2 per cell]  6 O 1.92-2.04
P (0.1086, 0.7500, 0.0967) [2 per cell]  4 O 1.51-1.58
P (0.4142, 0.7500, 0.5916) [2 per cell]  4 O 1.52-1.58
O (0.1572, 0.7500, 0.9453) [2 per cell]  1 P 1.51
O (0.2016, 0.2500, 0.8730) [2 per cell]  1 P 1.52
O (0.2685, 0.5470, 0.1719) [4 per cell]  1 P 1.58
O (0.2701, 0.2500, 0.3900) [2 per cell]  1 P 1.52
O (0.2753, 0.5394, 0.6665) [4 per cell]  1 P 1.58
O (0.3333, 0.7500, 0.4406) [2 per cell]  1 P 1.53

Summary:
raw formation energy	-2.460	eV/atom

=====

Density functional theory data (SCAN) for a PBEsol-optimized structure of Li2Fe2Si2O7.

a = 13.0353 Å, b = 8.3251 Å, c = 4.9792 Å
α = 90.00°, β = 90.00°, γ = 90.00°
Last column: nearest neighbours and their distance in Å.
Space group Ama2 (No. 40)
Inequivalent atoms, fractional coordinates:
Li (0.0828, 0.1972, 0.0000) [8 per cell]  4 O 1.92-2.02
Fe (0.0000, 0.0000, 0.4925) [4 per cell]  6 O 2.04-2.27
Fe (0.2500, 0.0035, 0.4753) [4 per cell]  5 O 2.03-2.15
Si (0.1369, 0.3494, 0.5024) [8 per cell]  4 O 1.62-1.69
O (0.0526, 0.2204, 0.6031) [8 per cell]  1 Si 1.62
O (0.1300, 0.0105, 0.1900) [8 per cell]  1 Si 1.64
O (0.1362, 0.3932, 0.1829) [8 per cell]  1 Si 1.63
O (0.2500, 0.2565, 0.5633) [4 per cell]  2 Si 1.69

Summary:
raw formation energy	-2.334	eV/atom
energy relative to the lowest polymorph listed for this composition	0	meV/atom

=====

Density functional theory data (SCAN) for a PBEsol-optimized structure of HgPbSe2.

a = 3.7470 Å, b = 3.7470 Å, c = 27.4449 Å
α = 90.00°, β = 90.00°, γ = 120.00°
Last column: nearest neighbours and their distance in Å.
Space group R-3m (No. 166, hexagonal axes)
Inequivalent atoms, fractional coordinates:
Hg (0.0000, 0.0000, 0.0000) [3 per cell]  6 Se 2.72
Pb (0.0000, 0.0000, 0.5000) [3 per cell]  2 Se 2.92
Se (0.0000, 0.0000, 0.3935) [6 per cell]  3 Hg 2.72, 1 Pb 2.92

Summary:
raw formation energy	0.139	eV/atom

=====

Density functional theory data (SCAN) for a PBEsol-optimized structure of ScCdPCl2.

a = 4.8285 Å, b = 4.8285 Å, c = 5.2854 Å
α = 90.00°, β = 90.00°, γ = 90.00°
Last column: nearest neighbours and their distance in Å.
Space group P4/mmm (No. 123)
Inequivalent atoms, fractional coordinates:
Sc (0.0000, 0.0000, 0.0000) [1 per cell]  4 P 3.41, 8 Cl 3.58
Cd (0.5000, 0.5000, 0.5000) [1 per cell]  4 Cl 2.41, 2 P 2.64
P (0.5000, 0.5000, 0.0000) [1 per cell]  2 Cd 2.64
Cl (0.0000, 0.5000, 0.5000) [2 per cell]  2 Cd 2.41

Summary:
raw formation energy	-0.247	eV/atom

=====

Density functional theory data (SCAN) for a PBEsol-optimized structure of BeAgOs2.

a = 2.6787 Å, b = 2.6787 Å, c = 25.8460 Å
α = 90.00°, β = 90.00°, γ = 120.00°
Last column: nearest neighbours and their distance in Å.
Space group R-3m (No. 166, hexagonal axes)
Inequivalent atoms, fractional coordinates:
Be (0.0000, 0.0000, 0.0000) [3 per cell]  6 Os 2.44, 6 Be 2.68
Ag (0.0000, 0.0000, 0.5000) [3 per cell]  6 Ag 2.68, 6 Os 2.87
Os (0.0000, 0.0000, 0.2604) [6 per cell]  3 Be 2.44, 6 Os 2.68

Summary:
E_form	340	meV/atom

=====

Density functional theory data (SCAN) for a PBEsol-optimized structure of Li2Mn2NiO6.

a = 8.4794 Å, b = 4.9121 Å, c = 10.1054 Å
α = 90.00°, β = 90.00°, γ = 90.00°
Last column: nearest neighbours and their distance in Å.
Space group Cmce (No. 64)
Inequivalent atoms, fractional coordinates:
Li (0.2500, 0.0764, 0.2500) [8 per cell]  4 O 1.98-2.01
Mn (0.1629, 0.0000, 0.0000) [8 per cell]  6 O 1.87-1.92
Ni (0.0000, 0.0000, 0.5000) [4 per cell]  6 O 2.01-2.05
O (0.0000, 0.1490, 0.8976) [8 per cell]  2 Mn 1.87, 1 Ni 2.01
O (0.1794, 0.1776, 0.6059) [16 per cell]  2 Mn 1.92, 2 Li 1.98-2.01, 1 Ni 2.05

Summary:
raw formation energy	-2.043	eV/atom

=====

Density functional theory data (SCAN) for a PBEsol-optimized structure of ScCu3Se3.

a = 6.7342 Å, b = 6.7342 Å, c = 18.9646 Å
α = 90.00°, β = 90.00°, γ = 120.00°
Last column: nearest neighbours and their distance in Å.
Space group R-3 (No. 148, hexagonal axes)
Inequivalent atoms, fractional coordinates:
Sc (0.0000, 0.0000, 0.1672) [6 per cell]  6 Se 2.71-2.72
Cu (0.0017, 0.3538, 0.3730) [18 per cell]  4 Se 2.39-2.48, 2 Cu 2.66
Se (0.9997, 0.3215, 0.5771) [18 per cell]  4 Cu 2.39-2.48

Summary:
raw formation energy	-0.745	eV/atom

=====

Density functional theory data (SCAN) for a PBEsol-optimized structure of Er3Al3Cr2O12.

a = 12.0232 Å, b = 12.0232 Å, c = 12.0232 Å
α = 90.00°, β = 90.00°, γ = 90.00°
Last column: nearest neighbours and their distance in Å.
Space group Ia-3d (No. 230)
Inequivalent atoms, fractional coordinates:
Er (0.0000, 0.2500, 0.1250) [24 per cell]  8 O 2.30-2.38
Al (0.0000, 0.2500, 0.3750) [24 per cell]  4 O 1.77
Cr (0.0000, 0.0000, 0.0000) [16 per cell]  6 O 1.99
O (0.0298, 0.0559, 0.6525) [96 per cell]  1 Al 1.77

Summary:
raw formation energy	-3.451	eV/atom

=====

Density functional theory data (SCAN) for a PBEsol-optimized structure of LiAg2As.

a = 4.0428 Å, b = 4.0428 Å, c = 3.9057 Å
α = 90.00°, β = 90.00°, γ = 90.00°
Last column: nearest neighbours and their distance in Å.
Space group P4/mmm (No. 123)
Inequivalent atoms, fractional coordinates:
Li (0.0000, 0.0000, 0.0000) [1 per cell]  8 Ag 2.81, 4 As 2.86
Ag (0.0000, 0.5000, 0.5000) [2 per cell]  4 As 2.81, 4 Li 2.81, 4 Ag 2.86
As (0.5000, 0.5000, 0.0000) [1 per cell]  8 Ag 2.81, 4 Li 2.86

Summary:
E_form	-192	meV/atom

=====

Density functional theory data (SCAN) for a PBEsol-optimized structure of AsH3Ru.

a = 3.5223 Å, b = 3.5223 Å, c = 3.5223 Å
α = 90.00°, β = 90.00°, γ = 90.00°
Last column: nearest neighbours and their distance in Å.
Space group Pm-3m (No. 221)
Inequivalent atoms, fractional coordinates:
As (0.0000, 0.0000, 0.0000) [1 per cell]  6 H 1.76
H (0.0000, 0.0000, 0.5000) [3 per cell]  2 As 1.76
Ru (0.5000, 0.5000, 0.5000) [1 per cell]  12 H 2.49

Summary:
energy	-59.587	eV for the cell shown

=====

Density functional theory data (SCAN) for a PBEsol-optimized structure of InTeCl.

a = 3.3456 Å, b = 3.3456 Å, c = 13.9718 Å
α = 90.00°, β = 90.00°, γ = 90.00°
Last column: nearest neighbours and their distance in Å.
Space group I4mm (No. 107)
Inequivalent atoms, fractional coordinates:
In (0.0000, 0.0000, 0.0000) [2 per cell]  4 Cl 2.88
Te (0.0000, 0.0000, 0.3324) [2 per cell]  4 In 3.33, 4 Te 3.35
Cl (0.0000, 0.0000, 0.6176) [2 per cell]  4 In 2.88

Summary:
raw formation energy	-0.316	eV/atom

=====

Density functional theory data (SCAN) for a PBEsol-optimized structure of Zr3Zn.

a = 6.7908 Å, b = 6.7908 Å, c = 6.7908 Å
α = 90.00°, β = 90.00°, γ = 90.00°
Last column: nearest neighbours and their distance in Å.
Space group Fm-3m (No. 225)
Inequivalent atoms, fractional coordinates:
Zr (0.0000, 0.0000, 0.0000) [4 per cell]  8 Zr 2.94
Zr (0.2500, 0.2500, 0.2500) [8 per cell]  4 Zn 2.94, 4 Zr 2.94
Zn (0.0000, 0.0000, 0.5000) [4 per cell]  8 Zr 2.94

Summary:
E_form	9	meV/atom

=====

Density functional theory data (SCAN) for a PBEsol-optimized structure of K2CdAg.

a = 13.1940 Å, b = 3.9817 Å, c = 5.7122 Å
α = 90.00°, β = 115.33°, γ = 90.00°
Last column: nearest neighbours and their distance in Å.
Space group Cm (No. 8)
Inequivalent atoms, fractional coordinates:
K (0.0000, 0.0000, 0.0000) [2 per cell]  4 Ag 3.55-3.56, 2 K 3.70-3.71, 4 Cd 3.86-3.91
K (0.1982, 0.0000, 0.6953) [2 per cell]  4 Cd 3.61-3.62, 3 Ag 3.66-4.04, 4 K 3.70-3.98
Cd (0.2795, 0.5000, 0.2761) [2 per cell]  2 Ag 2.77
Ag (0.4408, 0.0000, 0.4425) [2 per cell]  2 Cd 2.77

Summary:
energy relative to the lowest polymorph listed for this composition	34	meV/atom
E_form	2	meV/atom

=====

Density functional theory data (SCAN) for a PBEsol-optimized structure of TlAuSe.

a = 6.0842 Å, b = 4.4773 Å, c = 5.7700 Å
α = 90.00°, β = 90.00°, γ = 90.00°
Last column: nearest neighbours and their distance in Å.
Space group Pmma (No. 51)
Inequivalent atoms, fractional coordinates:
Tl (0.2500, 0.0000, 0.2202) [2 per cell]  4 Au 3.15, 2 Se 3.17
Au (0.0000, 0.5000, 0.5000) [2 per cell]  2 Se 2.44
Se (0.2500, 0.5000, 0.8317) [2 per cell]  2 Au 2.44

Summary:
raw formation energy	-0.307	eV/atom

=====

Density functional theory data (SCAN) for a PBEsol-optimized structure of BaLi4Cr.

a = 8.3162 Å, b = 8.3162 Å, c = 8.3162 Å
α = 90.00°, β = 90.00°, γ = 90.00°
Last column: nearest neighbours and their distance in Å.
Space group F-43m (No. 216)
Inequivalent atoms, fractional coordinates:
Ba (0.0000, 0.0000, 0.0000) [4 per cell]  12 Li 3.46, 4 Cr 3.60
Li (0.1212, 0.1212, 0.6212) [16 per cell]  6 Li 2.85-3.03
Cr (0.2500, 0.2500, 0.2500) [4 per cell]  12 Li 3.44, 4 Ba 3.60

Summary:
E_form	159	meV/atom

=====

Density functional theory data (SCAN) for a PBEsol-optimized structure of Sr3NiAs.

a = 5.3942 Å, b = 5.3942 Å, c = 5.3942 Å
α = 90.00°, β = 90.00°, γ = 90.00°
Last column: nearest neighbours and their distance in Å.
Space group Pm-3m (No. 221)
Inequivalent atoms, fractional coordinates:
Sr (0.0000, 0.0000, 0.5000) [3 per cell]  2 Ni 2.70
Ni (0.0000, 0.0000, 0.0000) [1 per cell]  6 Sr 2.70
As (0.5000, 0.5000, 0.5000) [1 per cell]  12 Sr 3.81

Summary:
E_form	-193	meV/atom

=====

Density functional theory data (SCAN) for a PBEsol-optimized structure of MnZnIr2.

a = 4.1774 Å, b = 4.1774 Å, c = 3.0419 Å
α = 90.00°, β = 90.00°, γ = 90.00°
Last column: nearest neighbours and their distance in Å.
Space group P4/mmm (No. 123)
Inequivalent atoms, fractional coordinates:
Mn (0.0000, 0.0000, 0.0000) [1 per cell]  8 Ir 2.58
Zn (0.5000, 0.5000, 0.0000) [1 per cell]  8 Ir 2.58
Ir (0.0000, 0.5000, 0.5000) [2 per cell]  4 Mn 2.58, 4 Zn 2.58

Summary:
E_form	-369	meV/atom

=====

Density functional theory data (SCAN) for a PBEsol-optimized structure of Ta2Ni2Rh.

a = 6.6793 Å, b = 6.6793 Å, c = 3.1041 Å
α = 90.00°, β = 90.00°, γ = 90.00°
Last column: nearest neighbours and their distance in Å.
Space group P4/mbm (No. 127)
Inequivalent atoms, fractional coordinates:
Ta (0.1762, 0.3238, 0.0000) [4 per cell]  6 Ni 2.44-2.56
Ni (0.1249, 0.6249, 0.5000) [4 per cell]  1 Ni 2.36, 6 Ta 2.44-2.56, 2 Rh 2.64
Rh (0.0000, 0.0000, 0.5000) [2 per cell]  4 Ni 2.64, 8 Ta 2.91

Summary:
E_form	-415	meV/atom

=====

Density functional theory data (SCAN) for a PBEsol-optimized structure of MgNiAg3.

a = 4.6798 Å, b = 4.6798 Å, c = 4.6798 Å
α = 90.00°, β = 90.00°, γ = 90.00°
Last column: nearest neighbours and their distance in Å.
Space group Pm-3m (No. 221)
Inequivalent atoms, fractional coordinates:
Mg (0.0000, 0.0000, 0.0000) [1 per cell]  6 Ag 2.34
Ni (0.5000, 0.5000, 0.5000) [1 per cell]  12 Ag 3.31
Ag (0.0000, 0.0000, 0.5000) [3 per cell]  2 Mg 2.34

Summary:
E_form	1161	meV/atom

=====

Density functional theory data (SCAN) for a PBEsol-optimized structure of CoSN2O.

a = 3.4286 Å, b = 3.4286 Å, c = 3.6631 Å
α = 90.00°, β = 90.00°, γ = 90.00°
Last column: nearest neighbours and their distance in Å.
Space group P4/mmm (No. 123)
Inequivalent atoms, fractional coordinates:
Co (0.0000, 0.0000, 0.0000) [1 per cell]  4 O 2.42, 8 N 2.51
S (0.5000, 0.5000, 0.5000) [1 per cell]  4 N 1.71, 2 O 1.83
N (0.0000, 0.5000, 0.5000) [2 per cell]  2 S 1.71
O (0.5000, 0.5000, 0.0000) [1 per cell]  2 S 1.83

Summary:
raw formation energy	1.219	eV/atom